1.
# CsSr2GeI8, relaxed, DFT PBE
# **Crystal system**: triclinic
# **Magnetization**: 0.01 μB/f.u.
# **ΔE_f (raw)**: -1.088 eV per atom
data_CsSr2GeI8
_chemical_formula_sum 'Cs1 Sr2 Ge1 I8'
_cell_length_a 7.1446
_cell_length_b 7.5737
_cell_length_c 10.7117
_cell_angle_alpha 90.04
_cell_angle_beta 90.11
_cell_angle_gamma 90.13
_space_group_name_H-M_alt 'P -1'
_space_group_IT_number 2
loop_
_space_group_symop_operation_xyz
'x,y,z'
'-x,-y,-z'
loop_
_atom_site_label
_atom_site_type_symbol
_atom_site_fract_x
_atom_site_fract_y
_atom_site_fract_z
Cs1 Cs 0.0000 0.0000 0.0000
Sr1 Sr 0.5005 0.5000 0.2765
Ge1 Ge 0.0000 0.0000 0.5000
I1 I 0.2347 0.3364 0.4994
I2 I 0.2420 0.8558 0.2987
I3 I 0.2434 0.8574 0.7017
I4 I 0.2510 0.4740 0.9999

2.
# La5HoN5, relaxed, DFT PBE
# **Crystal system**: monoclinic
# **Magnetization**: 0.00 μB/f.u.
# **ΔE_f (raw)**: -1.246 eV per atom
data_La5HoN5
_chemical_formula_sum 'La10 Ho2 N10'
_cell_length_a 11.6096
_cell_length_b 5.2418
_cell_length_c 7.3645
_cell_angle_alpha 90.00
_cell_angle_beta 108.66
_cell_angle_gamma 90.00
_space_group_name_H-M_alt 'C 1 2/m 1'
_space_group_IT_number 12
loop_
_space_group_symop_operation_xyz
'x,y,z'
'-x,-y,-z'
'-x,y,-z'
'x,-y,z'
'x+1/2,y+1/2,z'
'-x+1/2,-y+1/2,-z'
'-x+1/2,y+1/2,-z'
'x+1/2,-y+1/2,z'
loop_
_atom_site_label
_atom_site_type_symbol
_atom_site_fract_x
_atom_site_fract_y
_atom_site_fract_z
La1 La 0.0000 0.0000 0.0000
La2 La 0.1705 0.5000 0.3435
La3 La 0.1702 0.5000 0.8228
Ho1 Ho 0.0000 0.0000 0.5000
N1 N 0.0000 0.5000 0.5000
N2 N 0.1565 0.0000 0.8205
N3 N 0.1660 0.0000 0.3412